# YSbSe2N | Alexandria via LeMat-Bulk | GGA-PBE | relaxed
data_YSbSe2N
_chemical_formula_sum 'Y1 Sb1 Se2 N1'
_cell_length_a 5.5604
_cell_length_b 5.5604
_cell_length_c 4.0981
_cell_angle_alpha 90.00
_cell_angle_beta 90.00
_cell_angle_gamma 90.00
_space_group_name_H-M_alt 'P 4/m m m'
_space_group_IT_number 123
_space_group_name_Hall '-P 4 2'
loop_
_atom_site_label
_atom_site_type_symbol
_atom_site_fract_x
_atom_site_fract_y
_atom_site_fract_z
Y1 Y 0.0000 0.0000 0.0000
Sb1 Sb 0.5000 0.5000 0.5000
Se1 Se 0.0000 0.5000 0.0000
N1 N 0.0000 0.0000 0.5000
# energy above the lowest structure with this stoichiometry	0.188	eV/atom
# final energy	-25.1	eV per cell
# E_form (uncorrected)	3.802	kcal/mol of atoms

# NbAl3Ge | Alexandria via LeMat-Bulk | GGA-PBE | relaxed
data_NbAl3Ge
_chemical_formula_sum 'Nb1 Al3 Ge1'
_cell_length_a 4.7366
_cell_length_b 4.7366
_cell_length_c 4.7366
_cell_angle_alpha 90.00
_cell_angle_beta 90.00
_cell_angle_gamma 90.00
_space_group_name_H-M_alt 'P m -3 m'
_space_group_IT_number 221
_space_group_name_Hall '-P 4 2 3'
loop_
_atom_site_label
_atom_site_type_symbol
_atom_site_fract_x
_atom_site_fract_y
_atom_site_fract_z
Nb1 Nb 0.0000 0.0000 0.0000
Al1 Al 0.0000 0.5000 0.5000
Ge1 Ge 0.5000 0.5000 0.5000
# E_form	1.03	eV/atom
# energy above the lowest structure with this stoichiometry	0.147	eV/atom
# final energy	-20.8	eV per cell

# KNa2TaSe4 | Alexandria via LeMat-Bulk | GGA-PBE | relaxed
data_KNa2TaSe4
_chemical_formula_sum 'K4 Na8 Ta4 Se16'
_cell_length_a 7.7363
_cell_length_b 8.8900
_cell_length_c 12.2576
_cell_angle_alpha 90.00
_cell_angle_beta 90.00
_cell_angle_gamma 90.00
_space_group_name_H-M_alt 'I m m a'
_space_group_IT_number 74
_space_group_name_Hall '-I 2b 2'
loop_
_atom_site_label
_atom_site_type_symbol
_atom_site_fract_x
_atom_site_fract_y
_atom_site_fract_z
K1 K 0.0000 0.0000 0.0000
Na1 Na 0.0000 0.0000 0.5000
Na2 Na 0.2500 0.2500 0.2500
Ta1 Ta 0.2500 0.2500 0.7500
Se1 Se 0.0000 0.0408 0.7482
Se2 Se 0.2305 0.2500 0.5420
# final energy	-146.2	eV per cell
# E_form (uncorrected)	-20.232	kcal/mol of atoms

# BaUGe2O8 | Alexandria via LeMat-Bulk | GGA-PBE | relaxed
data_BaUGe2O8
_chemical_formula_sum 'Ba3 U3 Ge6 O24'
_cell_length_a 5.1341
_cell_length_b 5.1341
_cell_length_c 26.5678
_cell_angle_alpha 90.00
_cell_angle_beta 90.00
_cell_angle_gamma 120.00
_space_group_name_H-M_alt 'R 3 2'
_space_group_IT_number 155
_space_group_name_Hall 'R 3 2"'
loop_
_atom_site_label
_atom_site_type_symbol
_atom_site_fract_x
_atom_site_fract_y
_atom_site_fract_z
Ba1 Ba 0.0000 0.0000 0.0000
U1 U 0.0000 0.0000 0.5000
Ge1 Ge 0.0000 0.0000 0.2443
O1 O 0.0000 0.0000 0.3089
O2 O 0.0033 0.3725 0.1157
# final energy	-266.7	eV per cell
# E_form (uncorrected)	-51.505	kcal/mol of atoms

# AlOs | Alexandria via LeMat-Bulk | GGA-PBE | relaxed
data_AlOs
_chemical_formula_sum 'Al2 Os2'
_cell_length_a 2.8108
_cell_length_b 2.8108
_cell_length_c 8.5813
_cell_angle_alpha 90.00
_cell_angle_beta 90.00
_cell_angle_gamma 120.00
_space_group_name_H-M_alt 'P -3 m 1'
_space_group_IT_number 164
_space_group_name_Hall '-P 3 2"'
loop_
_atom_site_label
_atom_site_type_symbol
_atom_site_fract_x
_atom_site_fract_y
_atom_site_fract_z
Al1 Al 0.3333 0.6667 0.1374
Os1 Os 0.3333 0.6667 0.6237
# E_form	-0.06	eV/atom
# final energy	-30.2	eV per cell

# CaAl2Ga4Cu | Alexandria via LeMat-Bulk | GGA-PBE | relaxed
data_CaAl2Ga4Cu
_chemical_formula_sum 'Ca3 Al6 Ga12 Cu3'
_cell_length_a 4.5122
_cell_length_b 4.5122
_cell_length_c 25.6938
_cell_angle_alpha 90.00
_cell_angle_beta 90.00
_cell_angle_gamma 120.00
_space_group_name_H-M_alt 'R -3 m'
_space_group_IT_number 166
_space_group_name_Hall '-R 3 2"'
loop_
_atom_site_label
_atom_site_type_symbol
_atom_site_fract_x
_atom_site_fract_y
_atom_site_fract_z
Ca1 Ca 0.0000 0.0000 0.0000
Al1 Al 0.0000 0.0000 0.2444
Ga1 Ga 0.0000 0.0000 0.1344
Ga2 Ga 0.0000 0.0000 0.4005
Cu1 Cu 0.0000 0.0000 0.5000
# E_form	-0.13	eV/atom
# final energy	-80.3	eV per cell

# Ca3TlAs | Alexandria via LeMat-Bulk | GGA-PBE | relaxed
data_Ca3TlAs
_chemical_formula_sum 'Ca3 Tl1 As1'
_cell_length_a 5.6038
_cell_length_b 5.6038
_cell_length_c 5.6038
_cell_angle_alpha 90.00
_cell_angle_beta 90.00
_cell_angle_gamma 90.00
_space_group_name_H-M_alt 'P m -3 m'
_space_group_IT_number 221
_space_group_name_Hall '-P 4 2 3'
loop_
_atom_site_label
_atom_site_type_symbol
_atom_site_fract_x
_atom_site_fract_y
_atom_site_fract_z
Ca1 Ca 0.0000 0.0000 0.5000
Tl1 Tl 0.5000 0.5000 0.5000
As1 As 0.0000 0.0000 0.0000
# E_form	-0.59	eV/atom
# energy above the lowest structure with this stoichiometry	0.000	eV/atom
# final energy	-16.0	eV per cell

# SrGeH | Alexandria via LeMat-Bulk | GGA-PBE | relaxed
data_SrGeH
_chemical_formula_sum 'Sr4 Ge4 H4'
_cell_length_a 4.4381
_cell_length_b 13.4977
_cell_length_c 4.1168
_cell_angle_alpha 90.00
_cell_angle_beta 90.00
_cell_angle_gamma 90.00
_space_group_name_H-M_alt 'C m c m'
_space_group_IT_number 63
_space_group_name_Hall '-C 2c 2'
loop_
_atom_site_label
_atom_site_type_symbol
_atom_site_fract_x
_atom_site_fract_y
_atom_site_fract_z
Sr1 Sr 0.0000 0.1583 0.2500
Ge1 Ge 0.0000 0.4482 0.2500
H1 H 0.0000 0.2547 0.7500
# energy above the lowest structure with this stoichiometry	0.000	eV/atom
# final energy	-44.7	eV per cell

# UGeRhO6 | Alexandria via LeMat-Bulk | GGA-PBE | relaxed
data_UGeRhO6
_chemical_formula_sum 'U2 Ge2 Rh2 O12'
_cell_length_a 5.2938
_cell_length_b 5.2938
_cell_length_c 8.7433
_cell_angle_alpha 90.00
_cell_angle_beta 90.00
_cell_angle_gamma 120.00
_space_group_name_H-M_alt 'P -3 1 c'
_space_group_IT_number 163
_space_group_name_Hall '-P 3 2c'
loop_
_atom_site_label
_atom_site_type_symbol
_atom_site_fract_x
_atom_site_fract_y
_atom_site_fract_z
U1 U 0.3333 0.6667 0.2500
Ge1 Ge 0.3333 0.6667 0.7500
Rh1 Rh 0.0000 0.0000 0.0000
O1 O 0.0283 0.3552 0.6291
# final energy	-138.1	eV per cell
# E_form (uncorrected)	-41.070	kcal/mol of atoms

# AlSb2Pb | Alexandria via LeMat-Bulk | GGA-PBE | relaxed
data_AlSb2Pb
_chemical_formula_sum 'Al2 Sb4 Pb2'
_cell_length_a 3.8674
_cell_length_b 4.5436
_cell_length_c 12.6607
_cell_angle_alpha 90.00
_cell_angle_beta 90.00
_cell_angle_gamma 90.00
_space_group_name_H-M_alt 'I m m 2'
_space_group_IT_number 44
loop_
_space_group_symop_operation_xyz
'x,y,z'
'-x,-y,z'
'-x,y,z'
'x,-y,z'
'x+1/2,y+1/2,z+1/2'
'-x+1/2,-y+1/2,z+1/2'
'-x+1/2,y+1/2,z+1/2'
'x+1/2,-y+1/2,z+1/2'
loop_
_atom_site_label
_atom_site_type_symbol
_atom_site_fract_x
_atom_site_fract_y
_atom_site_fract_z
Al1 Al 0.0000 0.0000 0.0000
Sb1 Sb 0.0000 0.0000 0.4798
Sb2 Sb 0.0000 0.5000 0.6675
Pb1 Pb 0.0000 0.5000 0.2877
# energy above the lowest structure with this stoichiometry	0.089	eV/atom
# final energy	-30.3	eV per cell
# E_form (uncorrected)	3.069	kcal/mol of atoms

# CaCu2Ni | Alexandria via LeMat-Bulk | GGA-PBE | relaxed
data_CaCu2Ni
_chemical_formula_sum 'Ca2 Cu4 Ni2'
_cell_length_a 7.1716
_cell_length_b 4.1382
_cell_length_c 5.3669
_cell_angle_alpha 90.00
_cell_angle_beta 116.09
_cell_angle_gamma 90.00
_space_group_name_H-M_alt 'C 1 m 1'
_space_group_IT_number 8
loop_
_space_group_symop_operation_xyz
'x,y,z'
'x,-y,z'
'x+1/2,y+1/2,z'
'x+1/2,-y+1/2,z'
loop_
_atom_site_label
_atom_site_type_symbol
_atom_site_fract_x
_atom_site_fract_y
_atom_site_fract_z
Ca1 Ca 0.0000 0.0000 0.0000
Cu1 Cu 0.0039 0.5000 0.5130
Cu2 Cu 0.3062 0.5000 0.4193
Ni1 Ni 0.1913 0.0000 0.5753
# E_form	-0.09	eV/atom
# energy above the lowest structure with this stoichiometry	0.047	eV/atom
# final energy	-32.7	eV per cell

# In8Hg3Pb | Alexandria via LeMat-Bulk | GGA-PBE | relaxed
data_In8Hg3Pb
_chemical_formula_sum 'In16 Hg6 Pb2'
_cell_length_a 10.0509
_cell_length_b 10.0264
_cell_length_c 8.3568
_cell_angle_alpha 90.00
_cell_angle_beta 121.12
_cell_angle_gamma 90.00
_space_group_name_H-M_alt 'C 1 m 1'
_space_group_IT_number 8
loop_
_space_group_symop_operation_xyz
'x,y,z'
'x,-y,z'
'x+1/2,y+1/2,z'
'x+1/2,-y+1/2,z'
loop_
_atom_site_label
_atom_site_type_symbol
_atom_site_fract_x
_atom_site_fract_y
_atom_site_fract_z
In1 In 0.0000 0.0000 0.0000
In2 In 0.0029 0.2575 0.5178
In3 In 0.2208 0.2426 0.0039
In4 In 0.2226 0.5000 0.5217
In5 In 0.2342 0.0000 0.5182
In6 In 0.4889 0.0000 0.0045
Hg1 Hg 0.3609 0.0000 0.2609
Hg2 Hg 0.3621 0.2497 0.7610
Pb1 Pb 0.3615 0.5000 0.2611
# E_form	0.06	eV/atom
# final energy	-51.6	eV per cell